No. 1
Below is crystalline ScPt2Br at its relaxed geometry, with properties calculated at the PBE level.

Output
- energy above the lowest structure with this stoichiometry (kJ/mol of formula units) = 77
- formation energy (no corrections) (eV/atom) = -0.59

abc: 3.5640 3.5640 5.9581
angles: 90.00 90.00 90.00
Space group P4/mmm (No. 123)
One atom of each set of equivalent atoms:
Sc: 0.0000 0.0000 0.0000
Pt: 0.5000 0.5000 0.2199
Br: 0.0000 0.0000 0.5000

No. 2
Below is crystalline Pm4In2Pt at its relaxed geometry, with properties calculated at the PBE level.

Output
- energy above the lowest structure with this stoichiometry (kJ/mol of formula units) = 0
- energy of formation from the pure elements (meV per atom) = -480.4

abc: 17.6289 3.9829 6.4503
angles: 90.00 109.37 90.00
Space group C2/m (No. 12)
One atom of each set of equivalent atoms:
Pm: 0.0895 0.0000 0.4501
Pm: 0.1205 0.5000 0.9819
In: 0.2407 0.5000 0.6776
Pt: 0.0000 0.0000 0.0000

Question: Which value of energy above the lowest structure with this stoichiometry does entry 2 give?
Answer: 0 kJ/mol of formula units

Question: Which of these has the lowest energy above the lowest structure with this stoichiometry?
Answer: Pm4In2Pt